First-principles (PBE-GGA) data for a geometry-optimized V3TcH structure, as listed in Alexandria.

Computed properties:
Space group: Pm-3m, No. 221
Calculated density, g/cm3: 4.45
Relative energy among the computed polymorphs, eV/atom: 1.7038

POSCAR file:
```
V3TcH
1.0
4.5450 0.0000 0.0000
0.0000 4.5450 0.0000
0.0000 0.0000 4.5450
V Tc H
3 1 1
direct
0.0000 0.0000 0.5000 V
0.0000 0.5000 0.0000 V
0.5000 0.0000 0.0000 V
0.0000 0.0000 0.0000 Tc
0.5000 0.5000 0.5000 H
```